[1]
Compound: ZrScZn2
Source: Alexandria via LeMat-Bulk
Functional: GGA-PBEsol
Structure: optimized geometry

Unit cell a=3.250 b=4.213 c=5.555 alpha=90.00 beta=106.84 gamma=90.00
Space group Pm (No. 6)
Asymmetric unit:
Zr 0.000 0.000 0.000 x1
Sc 0.680 0.500 0.359 x1
Zn 0.268 0.000 0.533 x1
Zn 0.407 0.500 0.814 x1

Calculated values
- E_form (meV per atom) = -266
- theoretical density (g/cm3) = 6.09

[2]
Compound: ZrScZn2
Source: Alexandria via LeMat-Bulk
Functional: GGA-PBEsol
Structure: optimized geometry

Unit cell a=3.253 b=4.578 c=9.636 alpha=90.00 beta=90.00 gamma=90.00
Space group Imm2 (No. 44)
Asymmetric unit:
Zr 0.000 0.000 0.000 x2
Sc 0.000 0.500 0.231 x2
Zn 0.000 0.000 0.463 x2
Zn 0.000 0.500 0.765 x2

Calculated values
- E_form (meV per atom) = -242
- theoretical density (g/cm3) = 6.18

[3]
Compound: Zr3Sc
Source: Alexandria via LeMat-Bulk
Functional: GGA-PBEsol
Structure: optimized geometry

Unit cell a=4.454 b=4.454 c=8.949 alpha=90.00 beta=90.00 gamma=90.00
Space group I4/mmm (No. 139)
Asymmetric unit:
Zr 0.000 0.000 0.000 x2
Zr 0.000 0.500 0.250 x4
Sc 0.000 0.000 0.500 x2

Calculated values
- E_form (meV per atom) = 29
- theoretical density (g/cm3) = 5.96

[4]
Compound: Zr3Sc
Source: Alexandria via LeMat-Bulk
Functional: GGA-PBEsol
Structure: optimized geometry

Unit cell a=3.133 b=3.133 c=9.123 alpha=90.00 beta=90.00 gamma=90.00
Space group P4/mmm (No. 123)
Asymmetric unit:
Zr 0.000 0.000 0.000 x1
Zr 0.500 0.500 0.245 x2
Sc 0.000 0.000 0.500 x1

Calculated values
- E_form (meV per atom) = 39
- theoretical density (g/cm3) = 5.91

[5]
Compound: Zr3Sc
Source: Alexandria via LeMat-Bulk
Functional: GGA-PBEsol
Structure: optimized geometry

Unit cell a=5.513 b=10.162 c=6.388 alpha=90.00 beta=90.00 gamma=90.00
Space group Pnma (No. 62)
Asymmetric unit:
Zr 0.078 0.250 0.132 x4
Zr 0.249 0.002 0.878 x8
Sc 0.088 0.250 0.624 x4

Calculated values
- E_form (meV per atom) = 16
- theoretical density (g/cm3) = 5.91

[6]
Compound: ZrSc3
Source: Alexandria via LeMat-Bulk
Functional: GGA-PBEsol
Structure: optimized geometry

Unit cell a=3.2463 b=3.2463 c=10.1413 alpha=90.00 beta=90.00 gamma=120.00
Space group P-6m2 (No. 187)
Asymmetric unit:
Zr 0.0000 0.0000 0.0000 x1
Sc 0.0000 0.0000 0.5000 x1
Sc 0.3333 0.6667 0.2461 x2

Calculated values
- E_form (meV per atom) = 7
- theoretical density (g/cm3) = 4.06